# 1
Material: ErGa2Fe
Method: DFT, PBE
State: relaxed

Cell and atoms, written as CIF:
```
data_ErGa2Fe
_space_group_name_H-M_alt 'R -3 m'
_space_group_IT_number 166
_space_group_name_Hall '-R 3 2"'
_cell_length_a 4.0827
_cell_length_b 4.0827
_cell_length_c 14.8008
_cell_angle_alpha 90.00
_cell_angle_beta 90.00
_cell_angle_gamma 120.00
loop_
_atom_site_label
_atom_site_fract_x
_atom_site_fract_y
_atom_site_fract_z
_atom_site_occupancy
Er1 0.0000 0.0000 0.0000 1
Ga1 0.0000 0.0000 0.2126 1
Fe1 0.0000 0.0000 0.5000 1
```

## Properties
The value obtained for the calculated formation energy is -320.7 meV/atom.

# 2
Material: Er8GaFe2
Method: DFT, PBE
State: relaxed

Cell and atoms, written as CIF:
```
data_Er8GaFe2
_space_group_name_H-M_alt 'C 1 2/m 1'
_space_group_IT_number 12
_cell_length_a 8.536
_cell_length_b 12.717
_cell_length_c 5.274
_cell_angle_alpha 90.00
_cell_angle_beta 104.18
_cell_angle_gamma 90.00
loop_
_space_group_symop_operation_xyz
'x,y,z'
'-x,-y,-z'
'-x,y,-z'
'x,-y,z'
'x+1/2,y+1/2,z'
'-x+1/2,-y+1/2,-z'
'-x+1/2,y+1/2,-z'
'x+1/2,-y+1/2,z'
loop_
_atom_site_label
_atom_site_fract_x
_atom_site_fract_y
_atom_site_fract_z
_atom_site_occupancy
Er1 0.000 0.243 0.000 1
Er2 0.121 0.500 0.802 1
Er3 0.196 0.134 0.581 1
Ga1 0.000 0.000 0.000 1
Fe1 0.000 0.313 0.500 1
```

## Properties
The value obtained for the calculated formation energy is -54.9 meV/atom.

# 3
Material: ErGaFe
Method: DFT, PBE
State: relaxed

Cell and atoms, written as CIF:
```
data_ErGaFe
_space_group_name_H-M_alt 'I m m a'
_space_group_IT_number 74
_space_group_name_Hall '-I 2b 2'
_cell_length_a 5.225
_cell_length_b 5.441
_cell_length_c 7.277
_cell_angle_alpha 90.00
_cell_angle_beta 90.00
_cell_angle_gamma 90.00
loop_
_atom_site_label
_atom_site_fract_x
_atom_site_fract_y
_atom_site_fract_z
_atom_site_occupancy
Er1 0.000 0.250 0.114 1
Ga1 0.000 0.000 0.500 1
Fe1 0.250 0.250 0.750 1
```

## Properties
The value obtained for the calculated formation energy is -367.5 meV/atom.

# 4
Material: ErGa2Fe2Ge
Method: DFT, PBE
State: relaxed

Cell and atoms, written as CIF:
```
data_ErGa2Fe2Ge
_space_group_name_H-M_alt 'P 4/m m m'
_space_group_IT_number 123
_space_group_name_Hall '-P 4 2'
_cell_length_a 4.384
_cell_length_b 4.384
_cell_length_c 5.488
_cell_angle_alpha 90.00
_cell_angle_beta 90.00
_cell_angle_gamma 90.00
loop_
_atom_site_label
_atom_site_fract_x
_atom_site_fract_y
_atom_site_fract_z
_atom_site_occupancy
Er1 0.000 0.000 0.000 1
Ga1 0.500 0.500 0.239 1
Fe1 0.000 0.500 0.500 1
Ge1 0.000 0.000 0.500 1
```

## Properties
The value obtained for the calculated formation energy is -90.4 meV/atom.

# 5
Material: HoErGaFe
Method: DFT, PBE
State: relaxed

Cell and atoms, written as CIF:
```
data_HoErGaFe
_space_group_name_H-M_alt 'F -4 3 m'
_space_group_IT_number 216
_space_group_name_Hall 'F -4 2 3'
_cell_length_a 6.922
_cell_length_b 6.922
_cell_length_c 6.922
_cell_angle_alpha 90.00
_cell_angle_beta 90.00
_cell_angle_gamma 90.00
loop_
_atom_site_label
_atom_site_fract_x
_atom_site_fract_y
_atom_site_fract_z
_atom_site_occupancy
Ho1 0.000 0.000 0.000 1
Er1 0.000 0.000 0.500 1
Ga1 0.250 0.250 0.750 1
Fe1 0.250 0.250 0.250 1
```

## Properties
The value obtained for the calculated formation energy is -201.6 meV/atom.

# 6
Material: LiEr2Ga6Fe
Method: DFT, PBE
State: relaxed

Cell and atoms, written as CIF:
```
data_LiEr2Ga6Fe
_space_group_name_H-M_alt 'C 1 2/m 1'
_space_group_IT_number 12
_cell_length_a 11.524
_cell_length_b 5.529
_cell_length_c 7.362
_cell_angle_alpha 90.00
_cell_angle_beta 122.10
_cell_angle_gamma 90.00
loop_
_space_group_symop_operation_xyz
'x,y,z'
'-x,-y,-z'
'-x,y,-z'
'x,-y,z'
'x+1/2,y+1/2,z'
'-x+1/2,-y+1/2,-z'
'-x+1/2,y+1/2,-z'
'x+1/2,-y+1/2,z'
loop_
_atom_site_label
_atom_site_fract_x
_atom_site_fract_y
_atom_site_fract_z
_atom_site_occupancy
Li1 0.000 0.000 0.000 1
Er1 0.163 0.000 0.753 1
Ga1 0.109 0.267 0.349 1
Ga2 0.246 0.500 0.770 1
Fe1 0.000 0.500 0.500 1
```

## Properties
The value obtained for the calculated formation energy is -250.2 meV/atom.

# 7
Material: ErLuGaFe
Method: DFT, PBE
State: relaxed

Cell and atoms, written as CIF:
```
data_ErLuGaFe
_space_group_name_H-M_alt 'F -4 3 m'
_space_group_IT_number 216
_space_group_name_Hall 'F -4 2 3'
_cell_length_a 6.853
_cell_length_b 6.853
_cell_length_c 6.853
_cell_angle_alpha 90.00
_cell_angle_beta 90.00
_cell_angle_gamma 90.00
loop_
_atom_site_label
_atom_site_fract_x
_atom_site_fract_y
_atom_site_fract_z
_atom_site_occupancy
Er1 0.000 0.000 0.000 1
Lu1 0.000 0.000 0.500 1
Ga1 0.250 0.250 0.750 1
Fe1 0.250 0.250 0.250 1
```

## Properties
The value obtained for the calculated formation energy is -222.6 meV/atom.

# 8
Material: Er2GaFe2Ni5
Method: DFT, PBE
State: relaxed

Cell and atoms, written as CIF:
```
data_Er2GaFe2Ni5
_space_group_name_H-M_alt 'P 4/m b m'
_space_group_IT_number 127
_space_group_name_Hall '-P 4 2ab'
_cell_length_a 8.895
_cell_length_b 8.895
_cell_length_c 3.665
_cell_angle_alpha 90.00
_cell_angle_beta 90.00
_cell_angle_gamma 90.00
loop_
_atom_site_label
_atom_site_fract_x
_atom_site_fract_y
_atom_site_fract_z
_atom_site_occupancy
Er1 0.179 0.321 0.000 1
Ga1 0.000 0.000 0.000 1
Fe1 0.118 0.618 0.000 1
Ni1 0.000 0.500 0.500 1
Ni2 0.061 0.791 0.500 1
```

## Properties
The value obtained for the calculated formation energy is -209.5 meV/atom.

# 9
Material: ErGa2Fe2P
Method: DFT, PBE
State: relaxed

Cell and atoms, written as CIF:
```
data_ErGa2Fe2P
_space_group_name_H-M_alt 'P 4/m m m'
_space_group_IT_number 123
_space_group_name_Hall '-P 4 2'
_cell_length_a 4.218
_cell_length_b 4.218
_cell_length_c 5.432
_cell_angle_alpha 90.00
_cell_angle_beta 90.00
_cell_angle_gamma 90.00
loop_
_atom_site_label
_atom_site_fract_x
_atom_site_fract_y
_atom_site_fract_z
_atom_site_occupancy
Er1 0.000 0.000 0.000 1
Ga1 0.500 0.500 0.232 1
Fe1 0.000 0.500 0.500 1
P1 0.000 0.000 0.500 1
```

## Properties
The value obtained for the calculated formation energy is -420.4 meV/atom.

# 10
Material: ErGa2Fe2Si
Method: DFT, PBE
State: relaxed

Cell and atoms, written as CIF:
```
data_ErGa2Fe2Si
_space_group_name_H-M_alt 'P 4/m m m'
_space_group_IT_number 123
_space_group_name_Hall '-P 4 2'
_cell_length_a 4.228
_cell_length_b 4.228
_cell_length_c 5.492
_cell_angle_alpha 90.00
_cell_angle_beta 90.00
_cell_angle_gamma 90.00
loop_
_atom_site_label
_atom_site_fract_x
_atom_site_fract_y
_atom_site_fract_z
_atom_site_occupancy
Er1 0.000 0.000 0.000 1
Ga1 0.500 0.500 0.236 1
Fe1 0.000 0.500 0.500 1
Si1 0.000 0.000 0.500 1
```

## Properties
As for the uncorrected formation energy: -0.233 eV per atom.

# 11
Material: TbErGaFe
Method: DFT, PBE
State: relaxed

Cell and atoms, written as CIF:
```
data_TbErGaFe
_space_group_name_H-M_alt 'F -4 3 m'
_space_group_IT_number 216
_space_group_name_Hall 'F -4 2 3'
_cell_length_a 6.965
_cell_length_b 6.965
_cell_length_c 6.965
_cell_angle_alpha 90.00
_cell_angle_beta 90.00
_cell_angle_gamma 90.00
loop_
_atom_site_label
_atom_site_fract_x
_atom_site_fract_y
_atom_site_fract_z
_atom_site_occupancy
Tb1 0.000 0.000 0.000 1
Er1 0.000 0.000 0.500 1
Ga1 0.250 0.250 0.750 1
Fe1 0.250 0.250 0.250 1
```

## Properties
The value obtained for the calculated formation energy is -186.6 meV/atom.

# 12
Material: ErThGaFe
Method: DFT, PBE
State: relaxed

Cell and atoms, written as CIF:
```
data_ErThGaFe
_space_group_name_H-M_alt 'F -4 3 m'
_space_group_IT_number 216
_space_group_name_Hall 'F -4 2 3'
_cell_length_a 7.085
_cell_length_b 7.085
_cell_length_c 7.085
_cell_angle_alpha 90.00
_cell_angle_beta 90.00
_cell_angle_gamma 90.00
loop_
_atom_site_label
_atom_site_fract_x
_atom_site_fract_y
_atom_site_fract_z
_atom_site_occupancy
Er1 0.000 0.000 0.000 1
Th1 0.000 0.000 0.500 1
Ga1 0.250 0.250 0.250 1
Fe1 0.250 0.250 0.750 1
```

## Properties
The value obtained for the calculated formation energy is -142.0 meV/atom.

Q: Which formula does entry 11 have?
A: TbErGaFe

Q: Which formula does entry 6 have?
A: LiEr2Ga6Fe

Q: Which formula does entry 3 have?
A: ErGaFe

Please write out number 7 again, unchanged.
Material: ErLuGaFe
Method: DFT, PBE
State: relaxed

Cell and atoms, written as CIF:
```
data_ErLuGaFe
_space_group_name_H-M_alt 'F -4 3 m'
_space_group_IT_number 216
_space_group_name_Hall 'F -4 2 3'
_cell_length_a 6.853
_cell_length_b 6.853
_cell_length_c 6.853
_cell_angle_alpha 90.00
_cell_angle_beta 90.00
_cell_angle_gamma 90.00
loop_
_atom_site_label
_atom_site_fract_x
_atom_site_fract_y
_atom_site_fract_z
_atom_site_occupancy
Er1 0.000 0.000 0.000 1
Lu1 0.000 0.000 0.500 1
Ga1 0.250 0.250 0.750 1
Fe1 0.250 0.250 0.250 1
```

## Properties
The value obtained for the calculated formation energy is -222.6 meV/atom.